Entry 1:
Computed, not measured: crystalline Tb4Dy9Ho11 at its relaxed geometry at the PBE level of DFT.

As for the formation energy: 51 meV/atom. The calculation puts the total DFT energy (no corrections) at -218.16 eV/cell.

It has space group Cmmm (No. 65), with a = 16.5731 Å, b = 24.9636 Å, c = 3.6466 Å, α = 90.00°, β = 90.00° and γ = 90.00°. The asymmetric unit holds Tb at (0.1547, 0.1008, 0.0000), Dy at (0.0000, 0.0000, 0.0000), Dy at (0.1020, 0.2346, 0.0000), Dy at (0.1407, 0.4272, 0.0000), Ho at (0.0000, 0.1335, 0.5000), Ho at (0.0000, 0.3405, 0.5000), Ho at (0.0000, 0.5000, 0.5000), Ho at (0.2088, 0.0000, 0.5000) and Ho at (0.2260, 0.3190, 0.5000).

Entry 2:
Computed, not measured: crystalline Tb8Dy2Ho at its relaxed geometry at the PBE level of DFT.

As for the formation energy: 167 meV/atom. The calculation puts the total DFT energy (no corrections) at -97.96 eV/cell.

It has space group C2/m (No. 12), with a = 17.6721 Å, b = 7.1406 Å, c = 5.9754 Å, α = 90.00°, β = 108.66° and γ = 90.00°. The asymmetric unit holds Tb at (0.0092, 0.0000, 0.2472), Tb at (0.1254, 0.2786, 0.6427), Tb at (0.2020, 0.5000, 0.2230), Dy at (0.1903, 0.0000, 0.1741) and Ho at (0.0000, 0.5000, 0.0000).